P.
# PBE HfZnGa3, relaxed
data_HfZnGa3
_chemical_formula_sum 'Hf2 Zn2 Ga6'
_symmetry_space_group_name_H-M 'P m m n'
_symmetry_Int_Tables_number 59
_cell_length_a 4.018
_cell_length_b 6.620
_cell_length_c 6.731
_cell_angle_alpha 90.00
_cell_angle_beta 90.00
_cell_angle_gamma 90.00
loop_
_symmetry_equiv_pos_as_xyz
'x,y,z'
'-x,-y,-z'
'-x+1/2,-y+1/2,z'
'x+1/2,y+1/2,-z'
'x+1/2,-y,-z'
'-x+1/2,y,z'
'-x,y+1/2,-z'
'x,-y+1/2,z'
loop_
_atom_site_label
_atom_site_fract_x
_atom_site_fract_y
_atom_site_fract_z
_atom_site_occupancy
Hf1 0.250 0.250 0.205 1
Zn1 0.250 0.750 0.474 1
Ga1 0.250 0.049 0.727 1
Ga2 0.250 0.750 0.082 1
# Total magnetic moment: 0.00 μB per formula unit

Q.
# PBE HfZnGa3, relaxed
data_HfZnGa3
_chemical_formula_sum 'Hf1 Zn1 Ga3'
_symmetry_space_group_name_H-M 'P m -3 m'
_symmetry_Int_Tables_number 221
_symmetry_space_group_name_Hall '-P 4 2 3'
_cell_length_a 5.274
_cell_length_b 5.274
_cell_length_c 5.274
_cell_angle_alpha 90.00
_cell_angle_beta 90.00
_cell_angle_gamma 90.00
loop_
_atom_site_label
_atom_site_fract_x
_atom_site_fract_y
_atom_site_fract_z
_atom_site_occupancy
Hf1 0.000 0.000 0.000 1
Zn1 0.500 0.500 0.500 1
Ga1 0.000 0.000 0.500 1
# Total magnetic moment: 0.00 μB per formula unit

The energy of each structure relative to the most stable one, in eV/atom, is as follows: P 0.000; Q 0.758.

P.
# PBE Hf2Zn3Ga, relaxed
data_Hf2Zn3Ga
_chemical_formula_sum 'Hf16 Zn24 Ga8'
_symmetry_space_group_name_H-M 'F m m m'
_symmetry_Int_Tables_number 69
_symmetry_space_group_name_Hall '-F 2 2'
_cell_length_a 6.319
_cell_length_b 8.629
_cell_length_c 14.919
_cell_angle_alpha 90.00
_cell_angle_beta 90.00
_cell_angle_gamma 90.00
loop_
_atom_site_label
_atom_site_fract_x
_atom_site_fract_y
_atom_site_fract_z
_atom_site_occupancy
Hf1 0.249 0.000 0.000 1
Hf2 0.250 0.250 0.250 1
Zn1 0.000 0.000 0.166 1
Zn2 0.000 0.249 0.083 1
Ga1 0.000 0.000 0.334 1
# Total magnetic moment: 0.00 μB per formula unit

Q.
# PBE Hf2Zn3Ga, relaxed
data_Hf2Zn3Ga
_chemical_formula_sum 'Hf2 Zn3 Ga1'
_symmetry_space_group_name_H-M 'P m m 2'
_symmetry_Int_Tables_number 25
_cell_length_a 3.157
_cell_length_b 4.319
_cell_length_c 7.469
_cell_angle_alpha 90.00
_cell_angle_beta 90.00
_cell_angle_gamma 90.00
loop_
_symmetry_equiv_pos_as_xyz
'x,y,z'
'-x,-y,z'
'-x,y,z'
'x,-y,z'
loop_
_atom_site_label
_atom_site_fract_x
_atom_site_fract_y
_atom_site_fract_z
_atom_site_occupancy
Hf1 0.000 0.000 0.000 1
Hf2 0.000 0.500 0.497 1
Zn1 0.500 0.000 0.669 1
Zn2 0.500 0.500 0.162 1
Zn3 0.500 0.500 0.830 1
Ga1 0.500 0.000 0.334 1
# Total magnetic moment: 0.00 μB per formula unit

The energy of each structure relative to the most stable one, in eV/atom, is as follows: P 0.000; Q 0.009.

P.
# PBE HfZrGa4, relaxed
data_HfZrGa4
_chemical_formula_sum 'Hf2 Zr2 Ga8'
_symmetry_space_group_name_H-M 'C m m m'
_symmetry_Int_Tables_number 65
_symmetry_space_group_name_Hall '-C 2 2'
_cell_length_a 4.123
_cell_length_b 5.083
_cell_length_c 10.530
_cell_angle_alpha 90.00
_cell_angle_beta 90.00
_cell_angle_gamma 90.00
loop_
_atom_site_label
_atom_site_fract_x
_atom_site_fract_y
_atom_site_fract_z
_atom_site_occupancy
Hf1 0.000 0.000 0.000 1
Zr1 0.000 0.500 0.500 1
Ga1 0.000 0.000 0.322 1
Ga2 0.000 0.500 0.175 1
# Total magnetic moment: 0.00 μB per formula unit

Q.
# PBE HfZrGa4, relaxed
data_HfZrGa4
_chemical_formula_sum 'Hf4 Zr4 Ga16'
_symmetry_space_group_name_H-M 'F -4 3 m'
_symmetry_Int_Tables_number 216
_symmetry_space_group_name_Hall 'F -4 2 3'
_cell_length_a 7.447
_cell_length_b 7.447
_cell_length_c 7.447
_cell_angle_alpha 90.00
_cell_angle_beta 90.00
_cell_angle_gamma 90.00
loop_
_atom_site_label
_atom_site_fract_x
_atom_site_fract_y
_atom_site_fract_z
_atom_site_occupancy
Hf1 0.000 0.000 0.000 1
Zr1 0.250 0.250 0.750 1
Ga1 0.125 0.125 0.375 1
# Total magnetic moment: 0.00 μB per formula unit

The energy of each structure relative to the most stable one, in eV/atom, is as follows: P 0.095; Q 0.000.